1.
Entry from the Alexandria database: a geometry-optimized AlNiBr2 structure (GGA-PBE).

abc: 6.8166 6.8166 6.8166
angles: 90.00 90.00 90.00
Closest atoms and distances in Å follow each position.
Space group Fm-3m (No. 225)
Symmetry-distinct sites (fractional):
Al 0.0000 0.0000 0.0000  8 Br 2.95
Ni 0.0000 0.0000 0.5000  8 Br 2.95
Br 0.2500 0.2500 0.2500  4 Ni 2.95, 4 Al 2.95

The energy above the most stable polymorph in this dataset comes out at 644 meV/atom. As for the density of states at the Fermi level: 1.00 states/eV per atom. As for the volume: 19.8 A^3/atom. The calculation puts the uncorrected formation energy at 0.371 eV per atom.

2.
Entry from the Alexandria database: a geometry-optimized Al2NiBr8 structure (GGA-PBE).

abc: 19.0497 8.9050 12.3378
angles: 90.00 128.73 90.00
Closest atoms and distances in Å follow each position.
Space group C2/c (No. 15)
Symmetry-distinct sites (fractional):
Al 0.0782 0.2327 0.0282  4 Br 2.27-2.37
Ni 0.0000 0.0154 0.7500  6 Br 2.54-2.65
Br 0.0669 0.2157 0.6871  1 Al 2.35, 1 Ni 2.58
Br 0.0776 0.2073 0.2174  1 Al 2.35
Br 0.1409 0.0199 0.0022  1 Al 2.37, 1 Ni 2.54
Br 0.1517 0.4496 0.0599  1 Al 2.27

As for the volume: 37.1 A^3/atom. The calculation puts the uncorrected formation energy at -0.885 eV per atom.

3.
Entry from the Alexandria database: a geometry-optimized AlNi2Br structure (GGA-PBE).

abc: 3.0752 3.6696 11.3898
angles: 90.00 90.00 90.00
Closest atoms and distances in Å follow each position.
Space group Imm2 (No. 44)
Symmetry-distinct sites (fractional):
Al 0.0000 0.0000 0.0000  6 Ni 2.36-2.46
Ni 0.0000 0.0000 0.4497  4 Al 2.46, 2 Ni 2.56, 2 Br 2.62
Ni 0.0000 0.5000 0.1298  2 Al 2.36, 2 Ni 2.56
Br 0.0000 0.5000 0.7633  6 Ni 2.62-2.84

The energy above the most stable polymorph in this dataset comes out at 153 meV/atom. As for the density of states at the Fermi level: 0.79 states/eV per atom. As for the volume: 16.1 A^3/atom. The calculation puts the uncorrected formation energy at 0.038 eV per atom.